VASP calculation (GGA-PBE) on crystalline Li3MgAg at its relaxed geometry.

The structure in CIF format:
```
data_Li3MgAg
_symmetry_space_group_name_H-M 'C 1 2/m 1'
_symmetry_Int_Tables_number 12
_symmetry_space_group_name_Hall '-C 2y'
_cell_length_a 9.378
_cell_length_b 4.150
_cell_length_c 9.476
_cell_angle_alpha 90.00
_cell_angle_beta 91.44
_cell_angle_gamma 90.00
loop_
_atom_site_label
_atom_site_fract_x
_atom_site_fract_y
_atom_site_fract_z
Li1 0.064 0.000 0.131
Li2 0.156 0.000 0.452
Li3 0.240 0.000 0.777
Mg1 0.043 0.500 0.660
Ag1 0.145 0.500 0.948
```

**Calculated volume**: 18.43 Å³/atom
**E_form**: -114 meV/atom
**Energy above the lowest structure with this stoichiometry**: 11 meV per atom
**Total DFT energy (no corrections)**: -2.1515 eV per atom

VASP calculation (GGA-PBE) on crystalline Ac12La5Nd at its relaxed geometry.

The structure in CIF format:
```
data_Ac12La5Nd
_symmetry_space_group_name_H-M 'C 1 2/m 1'
_symmetry_Int_Tables_number 12
_symmetry_space_group_name_Hall '-C 2y'
_cell_length_a 6.816
_cell_length_b 11.806
_cell_length_c 19.147
_cell_angle_alpha 90.00
_cell_angle_beta 96.74
_cell_angle_gamma 90.00
loop_
_atom_site_label
_atom_site_fract_x
_atom_site_fract_y
_atom_site_fract_z
Ac1 0.111 0.000 0.335
Ac2 0.111 0.333 0.335
Ac3 0.219 0.166 0.163
Ac4 0.221 0.500 0.163
La1 0.000 0.167 0.500
La2 0.000 0.333 0.000
La3 0.000 0.500 0.500
Nd1 0.000 0.000 0.000
```

**Calculated volume**: 42.50 Å³/atom
**E_form**: 21 meV/atom
**Total DFT energy (no corrections)**: -4.3521 eV per atom

VASP calculation (GGA-PBE) on crystalline RbH2F at its relaxed geometry.

The structure in CIF format:
```
data_RbH2F
_symmetry_space_group_name_H-M 'P 1 21/m 1'
_symmetry_Int_Tables_number 11
_symmetry_space_group_name_Hall '-P 2yb'
_cell_length_a 3.969
_cell_length_b 3.960
_cell_length_c 8.923
_cell_angle_alpha 90.00
_cell_angle_beta 91.10
_cell_angle_gamma 90.00
loop_
_atom_site_label
_atom_site_fract_x
_atom_site_fract_y
_atom_site_fract_z
Rb1 0.246 0.250 0.339
H1 0.251 0.655 0.942
F1 0.254 0.250 0.654
```

**Calculated volume**: 17.53 Å³/atom
**Energy above the lowest structure with this stoichiometry**: 0 meV per atom
**Total DFT energy (no corrections)**: -3.7066 eV per atom

VASP calculation (GGA-PBE) on crystalline La6Si7Br3 at its relaxed geometry.

The structure in CIF format:
```
data_La6Si7Br3
_symmetry_space_group_name_H-M 'P m m n'
_symmetry_Int_Tables_number 59
_cell_length_a 4.143
_cell_length_b 16.941
_cell_length_c 11.934
_cell_angle_alpha 90.00
_cell_angle_beta 90.00
_cell_angle_gamma 90.00
loop_
_symmetry_equiv_pos_as_xyz
'x,y,z'
'-x,-y,-z'
'-x+1/2,-y+1/2,z'
'x+1/2,y+1/2,-z'
'x+1/2,-y,-z'
'-x+1/2,y,z'
'-x,y+1/2,-z'
'x,-y+1/2,z'
loop_
_atom_site_label
_atom_site_fract_x
_atom_site_fract_y
_atom_site_fract_z
La1 0.250 0.006 0.143
La2 0.250 0.130 0.434
La3 0.250 0.250 0.142
La4 0.250 0.750 0.157
Si1 0.250 0.127 0.935
Si2 0.250 0.626 0.755
Si3 0.250 0.626 0.958
Si4 0.250 0.750 0.654
Br1 0.250 0.250 0.638
Br2 0.250 0.557 0.392
```

**Calculated volume**: 26.17 Å³/atom
**ΔE_f (raw)**: -1.08 eV/atom
**Total DFT energy (no corrections)**: -5.6183 eV per atom

VASP calculation (GGA-PBE) on crystalline TlC5 at its relaxed geometry.

The structure in CIF format:
```
data_TlC5
_symmetry_space_group_name_H-M 'I m m 2'
_symmetry_Int_Tables_number 44
_symmetry_space_group_name_Hall 'I 2 -2'
_cell_length_a 2.568
_cell_length_b 3.727
_cell_length_c 15.281
_cell_angle_alpha 90.00
_cell_angle_beta 90.00
_cell_angle_gamma 90.00
loop_
_atom_site_label
_atom_site_fract_x
_atom_site_fract_y
_atom_site_fract_z
Tl1 0.000 0.000 0.000
C1 0.000 0.000 0.147
C2 0.000 0.000 0.330
C3 0.000 0.000 0.425
C4 0.000 0.500 0.689
C5 0.000 0.500 0.785
```

**Calculated volume**: 12.19 Å³/atom
**E_form**: 989 meV/atom
**Energy above the lowest structure with this stoichiometry**: 0 meV per atom
**Total DFT energy (no corrections)**: -7.0924 eV per atom

VASP calculation (GGA-PBE) on crystalline NaAsPdSe2 at its relaxed geometry.

The structure in CIF format:
```
data_NaAsPdSe2
_symmetry_space_group_name_H-M 'P 4/m m m'
_symmetry_Int_Tables_number 123
_symmetry_space_group_name_Hall '-P 4 2'
_cell_length_a 5.008
_cell_length_b 5.008
_cell_length_c 4.937
_cell_angle_alpha 90.00
_cell_angle_beta 90.00
_cell_angle_gamma 90.00
loop_
_atom_site_label
_atom_site_fract_x
_atom_site_fract_y
_atom_site_fract_z
Na1 0.000 0.000 0.000
As1 0.000 0.000 0.500
Pd1 0.500 0.500 0.500
Se1 0.000 0.500 0.000
```

**Calculated volume**: 24.77 Å³/atom
**ΔE_f (raw)**: 0.98 eV/atom
**Energy above the lowest structure with this stoichiometry**: 986 meV per atom
**Total DFT energy (no corrections)**: -2.6464 eV per atom